[1]
A plane-wave DFT calculation with GGA-PBE was carried out for an optimized crystal structure of Hf2AsH2.

Output
Energy above the lowest structure with this stoichiometry, eV/atom: 0.0000
Fermi-level density of states, states/eV/f.u.: 2.3
VASP energy, eV for the cell shown: -34.07

Cell: 3.3247 3.3247 6.1927 Å, 74.43 74.43 90.00°
Closest atoms and distances in Å follow each position.
Fractional coordinates of all 5 atoms:
H1 0.7500 0.2500 0.5000  4 Hf 2.13, 4 H 2.35
H2 0.2500 0.7500 0.5000  4 Hf 2.13, 4 H 2.35
As1 0.0000 0.0000 0.0000  8 Hf 2.81
Hf1 0.3659 0.3659 0.2681  4 H 2.13
Hf2 0.6341 0.6341 0.7319  4 H 2.13

[2]
A plane-wave DFT calculation with GGA-PBE was carried out for an optimized crystal structure of HfAsH.

Output
Energy above the lowest structure with this stoichiometry, eV/atom: 0.3341
Fermi-level density of states, states/eV/f.u.: 1.0
VASP energy, eV for the cell shown: -39.15

Cell: 3.7447 5.2849 7.0593 Å, 45.85 74.60 89.98°
Closest atoms and distances in Å follow each position.
Fractional coordinates of all 6 atoms:
H1 0.8473 0.6093 0.8059  3 Hf 2.05-2.09
H2 0.1527 0.3907 0.1941  3 Hf 2.05-2.09
As1 0.5910 0.9034 0.3175  3 H 2.70-2.78, 5 Hf 2.73-2.95, 1 As 3.01
As2 0.4090 0.0966 0.6825  3 H 2.70-2.78, 5 Hf 2.73-2.95, 1 As 3.01
Hf1 0.2972 0.3670 0.9060  3 H 2.05-2.09
Hf2 0.7028 0.6330 0.0940  3 H 2.05-2.09

[3]
A plane-wave DFT calculation with GGA-PBE was carried out for an optimized crystal structure of Hf3AsH3.

Output
Fermi-level density of states, states/eV/f.u.: 3.1
VASP energy, eV for the cell shown: -95.88

Cell: 5.9607 5.9607 6.9300 Å, 64.53 64.53 60.00°
Closest atoms and distances in Å follow each position.
Fractional coordinates of all 14 atoms:
Hf1 0.2217 0.5969 0.2741  4 H 2.04-2.14
Hf2 0.9073 0.2217 0.2741  4 H 2.04-2.14
Hf3 0.5969 0.9073 0.2741  4 H 2.04-2.14
Hf4 0.4031 0.0927 0.7259  4 H 2.04-2.14
Hf5 0.0927 0.7783 0.7259  4 H 2.04-2.14
Hf6 0.7783 0.4031 0.7259  4 H 2.04-2.14
As1 0.3332 0.3332 0.0003  6 Hf 2.63-2.64
As2 0.6668 0.6668 0.9997  6 Hf 2.63-2.64
H1 0.4786 0.7826 0.6124  4 Hf 2.04-2.14
H2 0.7826 0.1264 0.6124  4 Hf 2.04-2.14
H3 0.1264 0.4786 0.6124  4 Hf 2.04-2.14
H4 0.8736 0.5214 0.3876  4 Hf 2.04-2.14
H5 0.2174 0.8736 0.3876  4 Hf 2.04-2.14
H6 0.5214 0.2174 0.3876  4 Hf 2.04-2.14

[4]
A plane-wave DFT calculation with GGA-PBE was carried out for an optimized crystal structure of Hf3As2H2.

Output
Fermi-level density of states, states/eV/f.u.: 2.2
VASP energy, eV for the cell shown: -100.18

Cell: 7.2650 6.4822 5.2715 Å, 90.00 62.15 90.00°
Closest atoms and distances in Å follow each position.
Fractional coordinates of all 14 atoms:
Hf1 0.5000 0.5000 0.0000  2 H 1.96
Hf2 0.0000 0.0000 0.0000  2 H 1.96
Hf3 0.7363 0.0358 0.6511  2 H 1.97-1.98
Hf4 0.7637 0.5358 0.3489  2 H 1.97-1.98
Hf5 0.2363 0.4642 0.6511  2 H 1.97-1.98
Hf6 0.2637 0.9642 0.3489  2 H 1.97-1.98
As1 0.8837 0.6732 0.7881  6 Hf 2.68-2.97, 4 H 2.78-2.99
As2 0.3837 0.8268 0.7881  6 Hf 2.68-2.97, 4 H 2.78-2.99
As3 0.6163 0.1732 0.2119  6 Hf 2.68-2.97, 4 H 2.78-2.99
As4 0.1163 0.3268 0.2119  6 Hf 2.68-2.97, 4 H 2.78-2.99
H1 0.6710 0.3328 0.6619  3 Hf 1.96-1.98
H2 0.8290 0.8328 0.3381  3 Hf 1.96-1.98
H3 0.1710 0.1672 0.6619  3 Hf 1.96-1.98
H4 0.3290 0.6672 0.3381  3 Hf 1.96-1.98

[5]
A plane-wave DFT calculation with GGA-PBE was carried out for an optimized crystal structure of HfAs2H.

Output
Energy above the lowest structure with this stoichiometry, eV/atom: 0.0000
Fermi-level density of states, states/eV/f.u.: 1.0
VASP energy, eV for the cell shown: -45.98

Cell: 6.1648 6.1648 5.4042 Å, 55.22 55.22 90.00°
Closest atoms and distances in Å follow each position.
Fractional coordinates of all 8 atoms:
H1 0.5000 0.5000 0.0000  4 As 1.98
H2 0.2500 0.7500 0.5000  4 As 1.98
As1 0.5292 0.1250 0.2500  2 H 1.98
As2 0.2208 0.6250 0.2500  2 H 1.98
As3 0.3750 0.4708 0.7500  2 H 1.98
As4 0.8750 0.7792 0.7500  2 H 1.98
Hf1 0.0000 0.0000 0.0000  8 As 2.75-3.00
Hf2 0.7500 0.2500 0.5000  8 As 2.75-3.00

[6]
A plane-wave DFT calculation with GGA-PBE was carried out for an optimized crystal structure of HfAsH2.

Output
Energy above the lowest structure with this stoichiometry, eV/atom: 0.0000
Fermi-level density of states, states/eV/f.u.: 0.8
VASP energy, eV for the cell shown: -23.06

Cell: 3.3225 3.3225 5.2129 Å, 71.30 71.30 61.12°
Closest atoms and distances in Å follow each position.
Fractional coordinates of all 4 atoms:
Hf1 0.6940 0.6940 0.9188  6 H 1.96-2.09
As1 0.4985 0.4985 0.5000  8 H 2.79-3.08, 4 Hf 2.80-2.81
H1 0.0007 0.0007 0.0041  3 H 1.93-1.98, 3 Hf 1.96-1.98
H2 0.3068 0.3068 0.0771  3 H 1.93-1.98, 3 Hf 2.06-2.09

[7]
A plane-wave DFT calculation with GGA-PBE was carried out for an optimized crystal structure of HfAs3H.

Output
Energy above the lowest structure with this stoichiometry, eV/atom: 0.0000
Fermi-level density of states, states/eV/f.u.: 2.9
VASP energy, eV for the cell shown: -26.07

Cell: 4.2879 4.2879 4.2879 Å, 90.00 90.00 90.00°
Closest atoms and distances in Å follow each position.
Fractional coordinates of all 5 atoms:
H1 0.0000 0.0000 0.0000  6 As 2.14
As1 0.0000 0.5000 0.0000  2 H 2.14
As2 0.0000 0.0000 0.5000  2 H 2.14
As3 0.5000 0.0000 0.0000  2 H 2.14
Hf1 0.5000 0.5000 0.5000  12 As 3.03

[8]
A plane-wave DFT calculation with GGA-PBE was carried out for an optimized crystal structure of HfAs3H.

Output
Energy above the lowest structure with this stoichiometry, eV/atom: 0.4075
Fermi-level density of states, states/eV/f.u.: 4.0
VASP energy, eV for the cell shown: -24.03

Cell: 5.1528 5.1528 5.1528 Å, 90.00 90.00 90.00°
Closest atoms and distances in Å follow each position.
Fractional coordinates of all 5 atoms:
H1 0.5000 0.5000 0.5000  12 As 3.64
As1 0.0000 0.5000 0.0000  2 Hf 2.58
As2 0.0000 0.0000 0.5000  2 Hf 2.58
As3 0.5000 0.0000 0.0000  2 Hf 2.58
Hf1 0.0000 0.0000 0.0000  6 As 2.58

VASP energy of number 4 (Hf3As2H2)?
-100.18 eV for the cell shown

Look up the VASP energy of the seventh one.
-26.07 eV for the cell shown

What is the Fermi-level density of states in the eighth record?
4.0 states/eV/f.u.

What is the VASP energy in the sixth record?
-23.06 eV for the cell shown